Computed, not measured: LaTaCl2 after structural relaxation at the PBE level of DFT.

Cell and atoms, written as POSCAR:
```
LaTaCl2
1.0
3.2992 0.0000 0.0000
0.0000 4.2918 0.0000
0.0000 0.0000 6.0094
La Ta Cl
1 1 2
Direct
0.0000 0.0000 0.0000
0.5000 0.0000 0.5000
0.5000 0.5000 0.2597
0.5000 0.5000 0.7403
```

Results
**Magnetic moment**: 0.000 μB per atom
**Formation energy without anion corrections**: -541 meV per atom
**N(E_F)**: 3.32 states/eV/f.u.
**Space group**: No. 47
**V**: 85 Å³/cell